Here is a geometry-optimized CeBRu structure from Alexandria via LeMat-Bulk. Energies are from PBE.

ρ, Mg/m³: 7.05
V, Å³/cell: 237
DOS at the Fermi energy, states/eV/cell: 13.76
ΔE_f, meV per atom: 320
Raw total energy, eV per cell: -83.70
Crystal system: orthorhombic

a = 3.252 Å, b = 8.383 Å, c = 8.709 Å
α = 90.00°, β = 90.00°, γ = 90.00°
Space group Immm (No. 71)
Symmetry-distinct sites (fractional):
Ce: 0.000 0.000 0.206 [4 per cell]
B: 0.000 0.095 0.500 [4 per cell]
Ru: 0.000 0.328 0.500 [4 per cell]